{"formula": "Li2V3TeO8", "functional": "PBE+U", "state": "relaxed", "dos_at_fermi_per_ev_fu": 0.0, "magnetic_moment_mub_per_fu": 5.0, "energy_ev_per_fu": -94.817, "crystal_system": "trigonal", "polymorph_energy_ev_per_atom": 0.005, "cell": [[3.018, 1.743, 5.173], [-3.018, 1.743, 5.173], [0.000, -3.485, 5.173]], "species": ["Li", "Li", "V", "V", "V", "Te", "O", "O", "O", "O", "O", "O", "O", "O"], "frac_coords": [[0.129, 0.129, 0.129], [0.871, 0.871, 0.871], [0.000, 0.500, 0.500], [0.500, 0.000, 0.500], [0.500, 0.500, 0.000], [0.500, 0.500, 0.500], [0.258, 0.258, 0.718], [0.258, 0.718, 0.258], [0.266, 0.266, 0.266], [0.282, 0.742, 0.742], [0.718, 0.258, 0.258], [0.734, 0.734, 0.734], [0.742, 0.282, 0.742], [0.742, 0.742, 0.282]]}